Density functional theory data (PBEsol) for NaSn2Au after structural relaxation.

Cell lengths 4.9839, 4.9839, 4.9839 Å; angles 60.00, 60.00, 60.00 degrees
Positions (direct):
Sn  0.7500  0.7500  0.7500
Sn  0.2500  0.2500  0.2500
Au  0.5000  0.5000  0.5000
Na  0.0000  0.0000  0.0000

Its formation energy is -0.4 eV/f.u. For the density of states at the Fermi level, the calculation gives 1.3 states/eV/f.u. The space-group type is Fm-3m. The value obtained for the total energy is -14.28 eV/cell.

Density functional theory data (PBEsol) for Ru2Se after structural relaxation.

Cell lengths 4.0088, 4.0088, 4.0088 Å; angles 60.00, 60.00, 60.00 degrees
Positions (direct):
Ru  0.7500  0.7500  0.7500
Se  0.0000  0.0000  0.0000
Ru  0.2500  0.2500  0.2500

The energy relative to the elements, uncorrected is 0.294 eV per atom. For the density of states at the Fermi level, the calculation gives 3.1 states/eV/f.u. The space-group type is Fm-3m. The value obtained for the total energy is -23.31 eV/cell.

Density functional theory data (PBEsol) for BaFeP2 after structural relaxation.

Cell lengths 3.8104, 5.1782, 5.1782 Å; angles 74.53, 68.41, 68.41 degrees
Last column: magnetic moment on the atom in μB.
Positions (direct):
P  0.8503  0.1497  0.1497  -0.01
Fe  0.5000  0.0000  0.0000  0.65
Ba  0.0000  0.5000  0.5000  -0.01
P  0.1497  0.8503  0.8503  -0.01

Its formation energy is -1.7 eV/f.u. For the density of states at the Fermi level, the calculation gives 3.2 states/eV/f.u. The space-group type is Immm. The value obtained for the total energy is -24.37 eV/cell.

Density functional theory data (PBEsol) for LaCo3Re after structural relaxation.

Cell lengths 4.3475, 4.3475, 4.3475 Å; angles 90.00, 90.00, 90.00 degrees
Last column: magnetic moment on the atom in μB.
Positions (direct):
Co  0.5000  0.0000  0.0000  0.48
Re  0.5000  0.5000  0.5000  1.52
La  0.0000  0.0000  0.0000  -0.06
Co  0.0000  0.5000  0.0000  0.48
Co  0.0000  0.0000  0.5000  0.48

Its formation energy is 10.5 eV/f.u. For the density of states at the Fermi level, the calculation gives 7.4 states/eV/f.u. The space-group type is Pm-3m. The value obtained for the total energy is -31.39 eV/cell.

Density functional theory data (PBEsol) for CrInRu2 after structural relaxation.

Cell lengths 2.7498, 4.9744, 5.0954 Å; angles 117.49, 102.82, 95.64 degrees
Last column: magnetic moment on the atom in μB.
Positions (direct):
Ru  0.0000  0.0000  0.5000  -0.24
In  0.0000  0.5000  0.0000  -0.03
Cr  0.5000  0.0000  0.0000  2.01
Ru  0.5000  0.5000  0.5000  -0.24

Its formation energy is 1.9 eV/f.u. For the density of states at the Fermi level, the calculation gives 4.9 states/eV/f.u. The space-group type is C2/m. The value obtained for the total energy is -31.67 eV/cell.

Density functional theory data (PBEsol) for K2LiAlH6 after structural relaxation.

Cell lengths 5.4577, 5.4577, 5.4577 Å; angles 60.00, 60.00, 60.00 degrees
Positions (direct):
H  0.7689  0.2311  0.7689
H  0.7689  0.2311  0.2311
H  0.2311  0.7689  0.2311
Al  0.0000  0.0000  0.0000
H  0.2311  0.2311  0.7689
K  0.2500  0.2500  0.2500
K  0.7500  0.7500  0.7500
Li  0.5000  0.5000  0.5000
H  0.2311  0.7689  0.7689
H  0.7689  0.7689  0.2311

For the density of states at the Fermi level, the calculation gives 0.0 states/eV/f.u. The space-group type is Fm-3m. The value obtained for the total energy is -30.96 eV/cell.

Density functional theory data (PBEsol) for ZnCo4Mo after structural relaxation.

Cell lengths 4.5780, 4.5780, 4.5780 Å; angles 60.00, 60.00, 60.00 degrees
Positions (direct):
Co  0.3743  0.3743  0.3743
Co  0.3743  0.8772  0.3743
Co  0.8772  0.3743  0.3743
Zn  0.0000  0.0000  0.0000
Mo  0.7500  0.7500  0.7500
Co  0.3743  0.3743  0.8772

Its formation energy is 0.2 eV/f.u. For the density of states at the Fermi level, the calculation gives 6.5 states/eV/f.u. The space-group type is F-43m. The value obtained for the total energy is -44.10 eV/cell.

Density functional theory data (PBEsol) for SrAlNi3 after structural relaxation.

Cell lengths 4.5988, 4.5988, 4.5988 Å; angles 90.00, 90.00, 90.00 degrees
Positions (direct):
Al  0.5000  0.5000  0.5000
Ni  0.0000  0.0000  0.5000
Ni  0.5000  0.0000  0.0000
Ni  0.0000  0.5000  0.0000
Sr  0.0000  0.0000  0.0000

Its formation energy is 8.5 eV/f.u. For the density of states at the Fermi level, the calculation gives 3.4 states/eV/f.u. The space-group type is Pm-3m. The value obtained for the total energy is -15.90 eV/cell.

Density functional theory data (PBEsol) for RbCaC2 after structural relaxation.

Cell lengths 4.3445, 4.3445, 9.0424 Å; angles 103.90, 103.90, 90.00 degrees
Positions (direct):
Rb  0.0000  0.0000  0.0000
Rb  0.2500  0.7500  0.5000
C  0.6250  0.3750  0.7500
C  0.6250  0.8750  0.2500
Ca  0.5000  0.5000  0.0000
C  0.1250  0.3750  0.7500
C  0.6250  0.3750  0.2500
Ca  0.7500  0.2500  0.5000

Its formation energy is 7.6 eV/f.u. For the density of states at the Fermi level, the calculation gives 2.0 states/eV/f.u. The space-group type is I4_1/amd. The value obtained for the total energy is -29.75 eV/cell.

Density functional theory data (PBEsol) for SrLiBi2Sb after structural relaxation.

Cell lengths 4.9066, 5.9661, 5.9661 Å; angles 90.00, 90.00, 90.00 degrees
Positions (direct):
Li  0.5000  0.0000  0.0000
Bi  0.0000  0.5000  0.0000
Sb  0.0000  0.0000  0.0000
Sr  0.5000  0.5000  0.5000
Bi  0.0000  0.0000  0.5000

The energy relative to the elements, uncorrected is -0.130 eV per atom. For the density of states at the Fermi level, the calculation gives 4.0 states/eV/f.u. The space-group type is P4/mmm. The value obtained for the total energy is -17.59 eV/cell.

Density functional theory data (PBEsol) for Ba2TeIr after structural relaxation.

Cell lengths 4.7786, 4.7131, 6.2472 Å; angles 90.48, 112.49, 90.00 degrees
Positions (direct):
Ba  0.0200  0.8682  0.0399
Ba  0.7338  0.3737  0.4675
Ir  0.4265  0.3804  0.8530
Te  0.3198  0.8776  0.6396

The energy relative to the elements, uncorrected is -0.552 eV per atom. For the density of states at the Fermi level, the calculation gives 4.1 states/eV/f.u. The space-group type is Cm. The value obtained for the total energy is -19.85 eV/cell.

Density functional theory data (PBEsol) for BSb2TeIr after structural relaxation.

Cell lengths 4.9713, 4.9713, 5.5930 Å; angles 90.00, 90.00, 90.00 degrees
Positions (direct):
Ir  0.0000  0.0000  0.0000
Te  0.0000  0.0000  0.5000
Sb  0.5000  0.0000  0.0000
B  0.5000  0.5000  0.5000
Sb  0.0000  0.5000  0.0000

The energy relative to the elements, uncorrected is 1.389 eV per atom. For the density of states at the Fermi level, the calculation gives 3.6 states/eV/f.u. The space-group type is P4/mmm. The value obtained for the total energy is -22.54 eV/cell.

Density functional theory data (PBEsol) for Zr2CdCo after structural relaxation.

Cell lengths 2.9811, 2.9812, 8.1349 Å; angles 90.00, 90.00, 90.04 degrees
Last column: magnetic moment on the atom in μB.
Positions (direct):
Zr  0.0000  0.0000  0.7937  0.09
Cd  0.5000  0.5000  0.5000  0.01
Zr  0.0000  0.0000  0.2063  0.09
Co  0.5000  0.5000  0.0000  0.71

Its formation energy is -0.7 eV/f.u. For the density of states at the Fermi level, the calculation gives 4.4 states/eV/f.u. The space-group type is P4/mmm. The value obtained for the total energy is -27.86 eV/cell.

Density functional theory data (PBEsol) for ZrTaCr2Rh after structural relaxation.

Cell lengths 4.4689, 4.4689, 4.9864 Å; angles 90.00, 90.00, 90.00 degrees
Last column: magnetic moment on the atom in μB.
Positions (direct):
Zr  0.0000  0.0000  0.5000  -0.04
Ta  0.0000  0.0000  0.0000  -0.30
Rh  0.5000  0.5000  0.5000  0.02
Cr  0.5000  0.0000  0.0000  2.47
Cr  0.0000  0.5000  0.0000  2.47

Its formation energy is 8.1 eV/f.u. For the density of states at the Fermi level, the calculation gives 6.5 states/eV/f.u. The space-group type is P4/mmm. The value obtained for the total energy is -42.12 eV/cell.

Density functional theory data (PBEsol) for Ru2Se after structural relaxation.

Cell lengths 2.9034, 5.3649, 6.0865 Å; angles 109.23, 90.00, 105.70 degrees
Positions (direct):
Ru  0.1280  0.2559  0.5028
Ru  0.5609  0.1219  0.8299
Ru  0.8720  0.7441  0.4972
Se  0.1948  0.3895  0.1666
Ru  0.4391  0.8781  0.1701
Se  0.8052  0.6105  0.8334

The energy relative to the elements, uncorrected is 0.181 eV per atom. For the density of states at the Fermi level, the calculation gives 2.5 states/eV/f.u. The space-group type is C2/m. The value obtained for the total energy is -47.30 eV/cell.

Density functional theory data (PBEsol) for TePbW2 after structural relaxation.

Cell lengths 3.2870, 4.5366, 5.2776 Å; angles 90.00, 90.00, 90.00 degrees
Positions (direct):
Te  0.0000  0.5000  0.5000
W  0.0000  0.0000  0.0000
Pb  0.5000  0.5000  0.0000
W  0.5000  0.0000  0.5000

The energy relative to the elements, uncorrected is 1.274 eV per atom. For the density of states at the Fermi level, the calculation gives 4.5 states/eV/f.u. The space-group type is Pmmm. The value obtained for the total energy is -30.05 eV/cell.

Density functional theory data (PBEsol) for Ga3SnC after structural relaxation.

Cell lengths 5.1931, 5.1931, 5.1931 Å; angles 90.00, 90.00, 90.00 degrees
Last column: magnetic moment on the atom in μB.
Positions (direct):
C  0.5000  0.5000  0.5000  0.85
Sn  0.0000  0.0000  0.0000  0.01
Ga  0.0000  0.0000  0.5000  -0.02
Ga  0.0000  0.5000  0.0000  -0.02
Ga  0.5000  0.0000  0.0000  -0.02

Its formation energy is 9.5 eV/f.u. For the density of states at the Fermi level, the calculation gives 2.4 states/eV/f.u. The space-group type is Pm-3m. The value obtained for the total energy is -14.38 eV/cell.

Density functional theory data (PBEsol) for RbP2S2 after structural relaxation.

Cell lengths 4.5257, 4.7952, 4.7952 Å; angles 90.00, 90.00, 90.00 degrees
Positions (direct):
P  0.5000  0.0000  0.0000
Rb  0.5000  0.5000  0.5000
S  0.0000  0.5000  0.0000
P  0.0000  0.0000  0.0000
S  0.0000  0.0000  0.5000

The energy relative to the elements, uncorrected is 0.089 eV per atom. For the density of states at the Fermi level, the calculation gives 4.0 states/eV/f.u. The space-group type is P4/mmm. The value obtained for the total energy is -20.93 eV/cell.

Density functional theory data (PBEsol) for Mg2AlAs after structural relaxation.

Cell lengths 4.8177, 4.8177, 4.8177 Å; angles 60.00, 60.00, 60.00 degrees
Positions (direct):
Al  0.5000  0.5000  0.5000
Mg  0.0000  0.0000  0.0000
Mg  0.7500  0.7500  0.7500
As  0.2500  0.2500  0.2500

Its formation energy is 0.3 eV/f.u. For the density of states at the Fermi level, the calculation gives 1.7 states/eV/f.u. The space-group type is F-43m. The value obtained for the total energy is -12.36 eV/cell.

Density functional theory data (PBEsol) for Ag2Pd2Se after structural relaxation.

Cell lengths 3.6143, 3.6143, 7.2285 Å; angles 104.48, 104.48, 90.00 degrees
Positions (direct):
Se  0.0000  0.0000  0.0000
Ag  0.2500  0.7500  0.5000
Pd  0.5956  0.5956  0.1911
Ag  0.7500  0.2500  0.5000
Pd  0.4044  0.4044  0.8089

The energy relative to the elements, uncorrected is 0.241 eV per atom. For the density of states at the Fermi level, the calculation gives 2.1 states/eV/f.u. The space-group type is I4/mmm. The value obtained for the total energy is -21.18 eV/cell.